No. 1
LiAc2NdSe5 | GGA-PBE | relaxed

Results
* M_tot: 0.000 μB/f.u.
* symmetry: Cmc2_1 (36)
* E_form (uncorrected): -1.858 eV per atom

Cell lengths 9.227, 9.227, 12.881 Å; angles 90.00, 90.00, 152.75 degrees
Atoms (fractional coordinates):
Li1 0.015 0.985 0.500
Li2 0.985 0.015 0.000
Ac1 0.377 0.623 0.319
Ac2 0.390 0.610 0.703
Ac3 0.610 0.390 0.203
Ac4 0.623 0.377 0.819
Nd1 0.304 0.696 0.020
Nd2 0.696 0.304 0.520
Se1 0.002 0.998 0.304
Se2 0.137 0.863 0.018
Se3 0.194 0.806 0.363
Se4 0.210 0.790 0.678
Se5 0.455 0.545 0.085
Se6 0.545 0.455 0.585
Se7 0.790 0.210 0.178
Se8 0.806 0.194 0.863
Se9 0.863 0.137 0.518
Se10 0.998 0.002 0.804

=====

No. 2
KCo2Os | GGA-PBE | relaxed

Results
* M_tot: 3.953 μB/f.u.
* symmetry: Imm2 (44)
* formation energy from the elements: 1.017 eV/atom

Cell lengths 5.831, 5.831, 5.831 Å; angles 154.72, 128.84, 57.90 degrees
Atoms (fractional coordinates):
K1 0.000 0.000 0.000
Co1 0.511 0.511 0.000
Co2 0.714 0.214 0.500
Os1 0.296 0.796 0.500

=====

No. 3
Pm6PrDy2 | GGA-PBE | relaxed

Results
* M_tot: 0.000 μB/f.u.
* symmetry: P-1 (2)
* formation energy from the elements: 0.016 eV/atom

Cell lengths 3.639, 8.902, 9.610 Å; angles 90.31, 100.91, 90.10 degrees
Atoms (fractional coordinates):
Pm1 0.110 0.165 0.220
Pm2 0.222 0.835 0.442
Pm3 0.333 0.501 0.666
Pm4 0.667 0.499 0.334
Pm5 0.778 0.165 0.558
Pm6 0.890 0.835 0.780
Pr1 0.000 0.500 0.000
Dy1 0.444 0.165 0.889
Dy2 0.556 0.835 0.111

=====

No. 4
CdB | GGA-PBE | relaxed

Results
* M_tot: 0.000 μB/f.u.
* symmetry: P-42_1m (113)
* formation energy from the elements: 0.433 eV/atom

Cell lengths 6.580, 6.580, 3.158 Å; angles 90.00, 90.00, 90.00 degrees
Atoms (fractional coordinates):
Cd1 0.152 0.348 0.121
Cd2 0.348 0.848 0.879
Cd3 0.652 0.152 0.879
Cd4 0.848 0.652 0.121
B1 0.000 0.000 0.248
B2 0.000 0.000 0.752
B3 0.500 0.500 0.248
B4 0.500 0.500 0.752

=====

No. 5
CsIn4F12 | GGA-PBE | relaxed

Results
* M_tot: 0.000 μB/f.u.
* symmetry: Im-3m (229)
* E_form (uncorrected): -2.475 eV per atom

Cell lengths 7.482, 7.482, 7.482 Å; angles 109.47, 109.47, 109.47 degrees
Atoms (fractional coordinates):
Cs1 0.000 0.000 0.000
In1 0.000 0.000 0.500
In2 0.000 0.500 0.000
In3 0.500 0.000 0.000
In4 0.500 0.500 0.500
F1 0.000 0.247 0.753
F2 0.000 0.753 0.247
F3 0.247 0.000 0.753
F4 0.247 0.247 0.495
F5 0.247 0.495 0.247
F6 0.247 0.753 0.000
F7 0.495 0.247 0.247
F8 0.505 0.753 0.753
F9 0.753 0.000 0.247
F10 0.753 0.247 0.000
F11 0.753 0.505 0.753
F12 0.753 0.753 0.505

=====

No. 6
Ta2AlNi6 | GGA-PBE | relaxed

Results
* M_tot: 0.000 μB/f.u.
* symmetry: C2/m (12)
* formation energy from the elements: -0.171 eV/atom

Cell lengths 7.220, 7.220, 2.660 Å; angles 90.24, 90.24, 58.08 degrees
Atoms (fractional coordinates):
Ta1 0.180 0.180 0.497
Ta2 0.820 0.820 0.503
Al1 0.500 0.500 0.000
Ni1 0.160 0.521 0.002
Ni2 0.190 0.810 0.500
Ni3 0.479 0.840 0.998
Ni4 0.521 0.160 0.002
Ni5 0.810 0.190 0.500
Ni6 0.840 0.479 0.998

=====

No. 7
Ac2ThIn3 | GGA-PBE | relaxed

Results
* M_tot: 0.006 μB/f.u.
* symmetry: P4/mmm (123)
* formation energy from the elements: -0.337 eV/atom

Cell lengths 3.702, 3.702, 14.028 Å; angles 90.00, 90.00, 90.00 degrees
Atoms (fractional coordinates):
Ac1 0.000 0.000 0.172
Ac2 0.000 0.000 0.828
Th1 0.000 0.000 0.500
In1 0.500 0.500 0.000
In2 0.500 0.500 0.344
In3 0.500 0.500 0.656

=====

No. 8
FeCoTe2As | GGA-PBE | relaxed

Results
* M_tot: 2.512 μB/f.u.
* symmetry: P4/mmm (123)
* E_form (uncorrected): 0.798 eV per atom

Cell lengths 5.158, 5.158, 4.269 Å; angles 90.00, 90.00, 90.00 degrees
Atoms (fractional coordinates):
Fe1 0.000 0.000 0.000
Co1 0.500 0.500 0.500
Te1 0.000 0.500 0.000
Te2 0.500 0.000 0.000
As1 0.000 0.000 0.500